Entry from the Alexandria database: a relaxed structure of K3Li2I2Cl4 (PBE).

Output
* energy relative to the elements, uncorrected: -1.524 eV/atom
* DFT total energy: -3.1250 eV/atom
* N(E_F): 4.25 states/eV/f.u.

Unit cell a=5.044 b=5.044 c=26.383 alpha=90.00 beta=90.00 gamma=90.00
Space group I4/mmm (No. 139)
Unique sites:
K1 0.000 0.000 0.000 x2
K2 0.000 0.000 0.152 x4
Li1 0.000 0.000 0.411 x4
I1 0.000 0.000 0.283 x4
Cl1 0.000 0.500 0.080 x8